No. 1
# RbBIr PBE-GGA optimized geometry
data_RbBIr
_space_group_name_H-M_alt 'F -4 3 m'
_space_group_IT_number 216
_space_group_name_Hall 'F -4 2 3'
_cell_length_a 6.2575
_cell_length_b 6.2575
_cell_length_c 6.2575
_cell_angle_alpha 90.00
_cell_angle_beta 90.00
_cell_angle_gamma 90.00
loop_
_atom_site_label
_atom_site_type_symbol
_atom_site_fract_x
_atom_site_fract_y
_atom_site_fract_z
_atom_site_occupancy
Rb1 Rb 0.0000 0.0000 0.0000 1
B1 B 0.0000 0.0000 0.5000 1
Ir1 Ir 0.2500 0.2500 0.7500 1
# Magnetic moment   0.00 Bohr magnetons per cell
# Polymorph energy (0 for the lowest one)   6.43 eV/f.u.

No. 2
# RbBIr PBE-GGA optimized geometry
data_RbBIr
_space_group_name_H-M_alt 'F -4 3 m'
_space_group_IT_number 216
_space_group_name_Hall 'F -4 2 3'
_cell_length_a 6.2092
_cell_length_b 6.2092
_cell_length_c 6.2092
_cell_angle_alpha 90.00
_cell_angle_beta 90.00
_cell_angle_gamma 90.00
loop_
_atom_site_label
_atom_site_type_symbol
_atom_site_fract_x
_atom_site_fract_y
_atom_site_fract_z
_atom_site_occupancy
Rb1 Rb 0.0000 0.0000 0.0000 1
B1 B 0.2500 0.2500 0.7500 1
Ir1 Ir 0.0000 0.0000 0.5000 1
# Magnetic moment   0.13 Bohr magnetons per cell
# Polymorph energy (0 for the lowest one)   6.19 eV/f.u.

No. 3
# RbBIr PBE-GGA optimized geometry
data_RbBIr
_space_group_name_H-M_alt 'F -4 3 m'
_space_group_IT_number 216
_space_group_name_Hall 'F -4 2 3'
_cell_length_a 6.8398
_cell_length_b 6.8398
_cell_length_c 6.8398
_cell_angle_alpha 90.00
_cell_angle_beta 90.00
_cell_angle_gamma 90.00
loop_
_atom_site_label
_atom_site_type_symbol
_atom_site_fract_x
_atom_site_fract_y
_atom_site_fract_z
_atom_site_occupancy
Rb1 Rb 0.0000 0.0000 0.0000 1
B1 B 0.2500 0.2500 0.7500 1
Ir1 Ir 0.2500 0.2500 0.2500 1
# Magnetic moment   4.03 Bohr magnetons per cell
# Polymorph energy (0 for the lowest one)   9.66 eV/f.u.

No. 4
# RbBIr PBE-GGA optimized geometry
data_RbBIr
_space_group_name_H-M_alt 'P 4/n m m'
_space_group_IT_number 129
_cell_length_a 3.9985
_cell_length_b 3.9985
_cell_length_c 10.6820
_cell_angle_alpha 90.00
_cell_angle_beta 90.00
_cell_angle_gamma 90.00
loop_
_space_group_symop_operation_xyz
'x,y,z'
'-x,-y,-z'
'-y+1/2,x,z'
'y+1/2,-x,-z'
'-x+1/2,-y+1/2,z'
'x+1/2,y+1/2,-z'
'y,-x+1/2,z'
'-y,x+1/2,-z'
'x+1/2,-y,-z'
'-x+1/2,y,z'
'-y,-x,-z'
'y,x,z'
'-x,y+1/2,-z'
'x,-y+1/2,z'
'y+1/2,x+1/2,-z'
'-y+1/2,-x+1/2,z'
loop_
_atom_site_label
_atom_site_type_symbol
_atom_site_fract_x
_atom_site_fract_y
_atom_site_fract_z
_atom_site_occupancy
Rb1 Rb 0.2500 0.2500 0.2214 1
B1 B 0.2500 0.2500 0.5633 1
Ir1 Ir 0.2500 0.7500 0.5000 1
# Magnetic moment   0.01 Bohr magnetons per cell
# Polymorph energy (0 for the lowest one)   0.00 eV/f.u.

No. 5
# ReB4Ir PBE-GGA optimized geometry
data_ReB4Ir
_space_group_name_H-M_alt 'I m m m'
_space_group_IT_number 71
_space_group_name_Hall '-I 2 2'
_cell_length_a 3.0011
_cell_length_b 5.1158
_cell_length_c 6.9960
_cell_angle_alpha 90.00
_cell_angle_beta 90.00
_cell_angle_gamma 90.00
loop_
_atom_site_label
_atom_site_type_symbol
_atom_site_fract_x
_atom_site_fract_y
_atom_site_fract_z
_atom_site_occupancy
Re1 Re 0.0000 0.0000 0.0000 1
B1 B 0.0000 0.3279 0.2579 1
Ir1 Ir 0.0000 0.0000 0.5000 1
# Magnetic moment   0.01 Bohr magnetons per cell
# Polymorph energy (0 for the lowest one)   0.23 eV/f.u.

No. 6
# ReB4Ir PBE-GGA optimized geometry
data_ReB4Ir
_space_group_name_H-M_alt 'P 6/m m m'
_space_group_IT_number 191
_space_group_name_Hall '-P 6 2'
_cell_length_a 2.9908
_cell_length_b 2.9908
_cell_length_c 6.9007
_cell_angle_alpha 90.00
_cell_angle_beta 90.00
_cell_angle_gamma 120.00
loop_
_atom_site_label
_atom_site_type_symbol
_atom_site_fract_x
_atom_site_fract_y
_atom_site_fract_z
_atom_site_occupancy
Re1 Re 0.0000 0.0000 0.0000 1
B1 B 0.3333 0.6667 0.2452 1
Ir1 Ir 0.0000 0.0000 0.5000 1
# Magnetic moment   0.01 Bohr magnetons per cell
# Polymorph energy (0 for the lowest one)   0.00 eV/f.u.

No. 7
# ReBIr2 PBE-GGA optimized geometry
data_ReBIr2
_space_group_name_H-M_alt 'F -4 3 m'
_space_group_IT_number 216
_space_group_name_Hall 'F -4 2 3'
_cell_length_a 5.9593
_cell_length_b 5.9593
_cell_length_c 5.9593
_cell_angle_alpha 90.00
_cell_angle_beta 90.00
_cell_angle_gamma 90.00
loop_
_atom_site_label
_atom_site_type_symbol
_atom_site_fract_x
_atom_site_fract_y
_atom_site_fract_z
_atom_site_occupancy
Re1 Re 0.0000 0.0000 0.0000 1
B1 B 0.2500 0.2500 0.7500 1
Ir1 Ir 0.0000 0.0000 0.5000 1
Ir2 Ir 0.2500 0.2500 0.2500 1
# E   -0.6282 Ry/atom
# Magnetic moment   0.01 Bohr magnetons per cell

No. 8
# ReB2Ir PBE-GGA optimized geometry
data_ReB2Ir
_space_group_name_H-M_alt 'F -4 3 m'
_space_group_IT_number 216
_space_group_name_Hall 'F -4 2 3'
_cell_length_a 5.7225
_cell_length_b 5.7225
_cell_length_c 5.7225
_cell_angle_alpha 90.00
_cell_angle_beta 90.00
_cell_angle_gamma 90.00
loop_
_atom_site_label
_atom_site_type_symbol
_atom_site_fract_x
_atom_site_fract_y
_atom_site_fract_z
_atom_site_occupancy
Re1 Re 0.0000 0.0000 0.0000 1
B1 B 0.0000 0.0000 0.5000 1
B2 B 0.2500 0.2500 0.7500 1
Ir1 Ir 0.2500 0.2500 0.2500 1
# E   -0.5492 Ry/atom
# Magnetic moment   0.04 Bohr magnetons per cell

No. 9
# ReB2Ir2 PBE-GGA optimized geometry
data_ReB2Ir2
_space_group_name_H-M_alt 'I 4/m m m'
_space_group_IT_number 139
_space_group_name_Hall '-I 4 2'
_cell_length_a 3.7504
_cell_length_b 3.7504
_cell_length_c 8.3428
_cell_angle_alpha 90.00
_cell_angle_beta 90.00
_cell_angle_gamma 90.00
loop_
_atom_site_label
_atom_site_type_symbol
_atom_site_fract_x
_atom_site_fract_y
_atom_site_fract_z
_atom_site_occupancy
Re1 Re 0.0000 0.0000 0.0000 1
B1 B 0.0000 0.0000 0.3943 1
Ir1 Ir 0.0000 0.5000 0.2500 1
# E   -0.6219 Ry/atom
# Magnetic moment   1.89 Bohr magnetons per cell

No. 10
# B2SbIr PBE-GGA optimized geometry
data_B2SbIr
_space_group_name_H-M_alt 'F -4 3 m'
_space_group_IT_number 216
_space_group_name_Hall 'F -4 2 3'
_cell_length_a 6.0473
_cell_length_b 6.0473
_cell_length_c 6.0473
_cell_angle_alpha 90.00
_cell_angle_beta 90.00
_cell_angle_gamma 90.00
loop_
_atom_site_label
_atom_site_type_symbol
_atom_site_fract_x
_atom_site_fract_y
_atom_site_fract_z
_atom_site_occupancy
B1 B 0.0000 0.0000 0.0000 1
B2 B 0.2500 0.2500 0.2500 1
Sb1 Sb 0.2500 0.2500 0.7500 1
Ir1 Ir 0.0000 0.0000 0.5000 1
# E   -0.3768 Ry/atom
# Magnetic moment   0.00 Bohr magnetons per cell

No. 11
# BSb2Ir PBE-GGA optimized geometry
data_BSb2Ir
_space_group_name_H-M_alt 'F -4 3 m'
_space_group_IT_number 216
_space_group_name_Hall 'F -4 2 3'
_cell_length_a 6.6328
_cell_length_b 6.6328
_cell_length_c 6.6328
_cell_angle_alpha 90.00
_cell_angle_beta 90.00
_cell_angle_gamma 90.00
loop_
_atom_site_label
_atom_site_type_symbol
_atom_site_fract_x
_atom_site_fract_y
_atom_site_fract_z
_atom_site_occupancy
B1 B 0.0000 0.0000 0.0000 1
Sb1 Sb 0.0000 0.0000 0.5000 1
Sb2 Sb 0.2500 0.2500 0.7500 1
Ir1 Ir 0.2500 0.2500 0.2500 1
# E   -0.3513 Ry/atom
# Magnetic moment   0.00 Bohr magnetons per cell

No. 12
# ScBIr2 PBE-GGA optimized geometry
data_ScBIr2
_space_group_name_H-M_alt 'F -4 3 m'
_space_group_IT_number 216
_space_group_name_Hall 'F -4 2 3'
_cell_length_a 6.1097
_cell_length_b 6.1097
_cell_length_c 6.1097
_cell_angle_alpha 90.00
_cell_angle_beta 90.00
_cell_angle_gamma 90.00
loop_
_atom_site_label
_atom_site_type_symbol
_atom_site_fract_x
_atom_site_fract_y
_atom_site_fract_z
_atom_site_occupancy
Sc1 Sc 0.0000 0.0000 0.0000 1
B1 B 0.2500 0.2500 0.7500 1
Ir1 Ir 0.0000 0.0000 0.5000 1
Ir2 Ir 0.2500 0.2500 0.2500 1
# E   -0.5453 Ry/atom
# Magnetic moment   0.25 Bohr magnetons per cell

No. 13
# Sc2BIr PBE-GGA optimized geometry
data_Sc2BIr
_space_group_name_H-M_alt 'F -4 3 m'
_space_group_IT_number 216
_space_group_name_Hall 'F -4 2 3'
_cell_length_a 6.1367
_cell_length_b 6.1367
_cell_length_c 6.1367
_cell_angle_alpha 90.00
_cell_angle_beta 90.00
_cell_angle_gamma 90.00
loop_
_atom_site_label
_atom_site_type_symbol
_atom_site_fract_x
_atom_site_fract_y
_atom_site_fract_z
_atom_site_occupancy
Sc1 Sc 0.0000 0.0000 0.0000 1
Sc2 Sc 0.2500 0.2500 0.2500 1
B1 B 0.0000 0.0000 0.5000 1
Ir1 Ir 0.2500 0.2500 0.7500 1
# E   -0.5325 Ry/atom
# Magnetic moment   0.00 Bohr magnetons per cell